[1]
! KMoOs3 SCAN single point on PBEsol structure; values from VASP
! formation energy from the elements = 4016 meV per atom
&SYSTEM
  ibrav = 0, nat = 5, ntyp = 3
/
ATOMIC_SPECIES
K 39.10 K.upf
Mo 95.94 Mo.upf
Os 190.23 Os.upf
ATOMIC_POSITIONS angstrom
K 0.0000 0.0000 0.0000
Mo 2.2052 2.2052 2.2052
Os 0.0000 0.0000 2.2052
Os 0.0000 2.2052 0.0000
Os 2.2052 0.0000 0.0000
CELL_PARAMETERS angstrom
4.4104 0.0000 0.0000
0.0000 4.4104 0.0000
0.0000 0.0000 4.4104

[2]
! KMoOs2 SCAN single point on PBEsol structure; values from VASP
! energy relative to the lowest polymorph listed for this composition = 88 meV/atom
! formation energy from the elements = 852 meV per atom
&SYSTEM
  ibrav = 0, nat = 4, ntyp = 3
/
ATOMIC_SPECIES
K 39.10 K.upf
Mo 95.94 Mo.upf
Os 190.23 Os.upf
ATOMIC_POSITIONS angstrom
K 0.0000 0.0000 0.0000
Mo 1.2949 1.8828 2.9849
Os 1.2916 1.8828 5.5641
Os 2.6321 0.0000 4.4355
CELL_PARAMETERS angstrom
2.6841 0.0000 0.0000
0.0000 3.7655 0.0000
-0.0442 0.0000 8.2330

[3]
! KMo2P SCAN single point on PBEsol structure; values from VASP
! formation energy from the elements = 557 meV per atom
&SYSTEM
  ibrav = 0, nat = 4, ntyp = 3
/
ATOMIC_SPECIES
K 39.10 K.upf
Mo 95.94 Mo.upf
P 30.97 P.upf
ATOMIC_POSITIONS angstrom
K 0.0000 0.0000 0.0000
Mo 1.5155 1.5155 3.0677
Mo 1.5155 1.5155 5.6110
P 0.0000 0.0000 4.3394
CELL_PARAMETERS angstrom
3.0311 0.0000 0.0000
0.0000 3.0311 0.0000
0.0000 0.0000 8.6787

[4]
! KMo2PSe SCAN single point on PBEsol structure; values from VASP
! E_form (uncorrected) = 297.1 kJ per mole of atoms
&SYSTEM
  ibrav = 0, nat = 5, ntyp = 4
/
ATOMIC_SPECIES
K 39.10 K.upf
Mo 95.94 Mo.upf
P 30.97 P.upf
Se 78.96 Se.upf
ATOMIC_POSITIONS angstrom
K 0.0000 0.0000 0.0000
Mo 0.0000 2.2917 0.0000
Mo 2.2917 0.0000 0.0000
P 0.0000 0.0000 2.4033
Se 2.2917 2.2917 2.4033
CELL_PARAMETERS angstrom
4.5835 0.0000 0.0000
0.0000 4.5835 0.0000
0.0000 0.0000 4.8065

[5]
! K2MoPb SCAN single point on PBEsol structure; values from VASP
! formation energy from the elements = 976 meV per atom
&SYSTEM
  ibrav = 0, nat = 4, ntyp = 3
/
ATOMIC_SPECIES
K 39.10 K.upf
Mo 95.94 Mo.upf
Pb 207.20 Pb.upf
ATOMIC_POSITIONS angstrom
K 0.0000 0.0000 2.8873
K 0.0000 0.0000 9.0413
Mo 1.4913 1.4913 0.0000
Pb 1.4913 1.4913 5.9643
CELL_PARAMETERS angstrom
2.9825 0.0000 0.0000
0.0000 2.9825 0.0000
0.0000 0.0000 11.9286

[6]
! KMo2Pb SCAN single point on PBEsol structure; values from VASP
! formation energy from the elements = 1051 meV per atom
&SYSTEM
  ibrav = 0, nat = 4, ntyp = 3
/
ATOMIC_SPECIES
K 39.10 K.upf
Mo 95.94 Mo.upf
Pb 207.20 Pb.upf
ATOMIC_POSITIONS angstrom
K 0.0000 0.0000 0.0000
Mo 1.0370 2.6780 4.2689
Mo 1.7766 2.6780 2.1953
Pb 1.4068 0.0000 3.2321
CELL_PARAMETERS angstrom
2.9117 0.0000 0.0000
0.0000 5.3559 0.0000
-0.0981 0.0000 6.4643

[7]
! KMoPb SCAN single point on PBEsol structure; values from VASP
! energy relative to the lowest polymorph listed for this composition = 0 meV/atom
! formation energy from the elements = 1071 meV per atom
&SYSTEM
  ibrav = 0, nat = 3, ntyp = 3
/
ATOMIC_SPECIES
K 39.10 K.upf
Mo 95.94 Mo.upf
Pb 207.20 Pb.upf
ATOMIC_POSITIONS angstrom
K 0.0000 0.0000 0.0000
Mo 1.7566 1.7566 1.7566
Pb 3.5133 3.5133 3.5133
CELL_PARAMETERS angstrom
0.0000 3.5133 3.5133
3.5133 0.0000 3.5133
3.5133 3.5133 0.0000

[8]
! K2MoPb SCAN single point on PBEsol structure; values from VASP
! formation energy from the elements = 989 meV per atom
&SYSTEM
  ibrav = 0, nat = 4, ntyp = 3
/
ATOMIC_SPECIES
K 39.10 K.upf
Mo 95.94 Mo.upf
Pb 207.20 Pb.upf
ATOMIC_POSITIONS angstrom
K 0.0000 0.0000 2.9240
K 0.0000 0.0000 9.1890
Mo 1.8247 0.0000 0.0000
Pb 1.8247 0.0000 6.0565
CELL_PARAMETERS angstrom
1.8247 -2.3937 0.0000
1.8247 2.3937 0.0000
0.0000 0.0000 12.1130

[9]
! KMo2Pb SCAN single point on PBEsol structure; values from VASP
! formation energy from the elements = 1062 meV per atom
&SYSTEM
  ibrav = 0, nat = 4, ntyp = 3
/
ATOMIC_SPECIES
K 39.10 K.upf
Mo 95.94 Mo.upf
Pb 207.20 Pb.upf
ATOMIC_POSITIONS angstrom
K 0.0000 0.0000 0.0000
Mo 1.8508 1.8508 2.6333
Mo 1.8508 1.8508 4.8655
Pb 0.0000 0.0000 3.7494
CELL_PARAMETERS angstrom
3.7015 0.0000 0.0000
0.0000 3.7015 0.0000
0.0000 0.0000 7.4989

[10]
! KMoPb SCAN single point on PBEsol structure; values from VASP
! energy relative to the lowest polymorph listed for this composition = 54 meV/atom
! formation energy from the elements = 1125 meV per atom
&SYSTEM
  ibrav = 0, nat = 3, ntyp = 3
/
ATOMIC_SPECIES
K 39.10 K.upf
Mo 95.94 Mo.upf
Pb 207.20 Pb.upf
ATOMIC_POSITIONS angstrom
K 0.0000 0.0000 0.0000
Mo 0.0000 3.0398 1.4396
Pb 2.6325 1.5199 1.4572
CELL_PARAMETERS angstrom
5.2650 0.0000 0.0000
-2.6325 4.5597 0.0000
0.0000 0.0000 2.9145

[11]
! KMo2Pb SCAN single point on PBEsol structure; values from VASP
! formation energy from the elements = 808 meV per atom
&SYSTEM
  ibrav = 0, nat = 4, ntyp = 3
/
ATOMIC_SPECIES
K 39.10 K.upf
Mo 95.94 Mo.upf
Pb 207.20 Pb.upf
ATOMIC_POSITIONS angstrom
K 0.0000 0.0000 0.0000
Mo 1.9239 0.0000 3.9454
Mo 7.7325 0.0000 2.4006
Pb 4.8282 0.0000 3.1730
CELL_PARAMETERS angstrom
5.2445 -1.6342 0.0000
5.2445 1.6342 0.0000
-0.8327 0.0000 6.3460

[12]
! KMo2Pb SCAN single point on PBEsol structure; values from VASP
! formation energy from the elements = 944 meV per atom
&SYSTEM
  ibrav = 0, nat = 4, ntyp = 3
/
ATOMIC_SPECIES
K 39.10 K.upf
Mo 95.94 Mo.upf
Pb 207.20 Pb.upf
ATOMIC_POSITIONS angstrom
K 0.0000 0.0000 0.0000
Mo 0.0000 0.0000 6.0841
Mo 0.0000 2.7804 2.3585
Pb 1.6062 0.0000 3.1998
CELL_PARAMETERS angstrom
-1.6062 2.7804 5.3715
1.6062 -2.7804 5.3715
1.6062 2.7804 -5.3715

[13]
! K2MoPt SCAN single point on PBEsol structure; values from VASP
! energy relative to the lowest polymorph listed for this composition = 0 meV/atom
! formation energy from the elements = 438 meV per atom
&SYSTEM
  ibrav = 0, nat = 4, ntyp = 3
/
ATOMIC_SPECIES
K 39.10 K.upf
Mo 95.94 Mo.upf
Pt 195.08 Pt.upf
ATOMIC_POSITIONS angstrom
K 0.0000 0.0000 2.8611
K 0.0000 0.0000 17.0622
Mo 0.0000 2.2150 0.0000
Pt 1.4136 0.0000 0.0000
CELL_PARAMETERS angstrom
-1.4136 2.2150 9.9616
1.4136 -2.2150 9.9616
1.4136 2.2150 -9.9616

[14]
! K2Mo2Pt SCAN single point on PBEsol structure; values from VASP
! formation energy from the elements = 1292 meV per atom
&SYSTEM
  ibrav = 0, nat = 5, ntyp = 3
/
ATOMIC_SPECIES
K 39.10 K.upf
Mo 95.94 Mo.upf
Pt 195.08 Pt.upf
ATOMIC_POSITIONS angstrom
K 1.9074 0.0000 3.8395
K 0.0000 1.9074 3.8395
Mo 0.0000 0.0000 1.0068
Mo 0.0000 0.0000 14.3510
Pt 0.0000 0.0000 7.6789
CELL_PARAMETERS angstrom
-1.9074 1.9074 7.6789
1.9074 -1.9074 7.6789
1.9074 1.9074 -7.6789

[15]
! KMoPt2 SCAN single point on PBEsol structure; values from VASP
! energy relative to the lowest polymorph listed for this composition = 3 meV/atom
! formation energy from the elements = 345 meV per atom
&SYSTEM
  ibrav = 0, nat = 4, ntyp = 3
/
ATOMIC_SPECIES
K 39.10 K.upf
Mo 95.94 Mo.upf
Pt 195.08 Pt.upf
ATOMIC_POSITIONS angstrom
K 0.0000 0.0000 0.0000
Mo 1.3730 1.3730 3.2800
Pt 0.0000 0.0000 5.1544
Pt 1.3730 1.3730 7.2161
CELL_PARAMETERS angstrom
2.7459 0.0000 0.0000
0.0000 2.7459 0.0000
0.0000 0.0000 9.7429

Number 1: Fermi-level density of states 4.48 states/eV/f.u., volume 86 Å³ per cell. Number 2: Fermi-level density of states 3.60 states/eV/f.u., volume 83 Å³ per cell. Number 3: Fermi-level density of states 2.95 states/eV/f.u., volume 80 Å³ per cell. Number 4: Fermi-level density of states 4.32 states/eV/f.u., volume 101 Å³ per cell. Number 5: Fermi-level density of states 3.39 states/eV/f.u., volume 106 Å³ per cell. Number 6: Fermi-level density of states 4.09 states/eV/f.u., volume 101 Å³ per cell. Number 7: Fermi-level density of states 0.83 states/eV/f.u., volume 87 Å³ per cell. Number 8: Fermi-level density of states 3.17 states/eV/f.u., volume 106 Å³ per cell. Number 9: Fermi-level density of states 3.78 states/eV/f.u., volume 103 Å³ per cell. Number 10: Fermi-level density of states 2.96 states/eV/f.u., volume 70 Å³ per cell. Number 11: Fermi-level density of states 2.58 states/eV/f.u., volume 109 Å³ per cell. Number 12: Fermi-level density of states 3.36 states/eV/f.u., volume 96 Å³ per cell. Number 13: Fermi-level density of states 2.72 states/eV/f.u., volume 125 Å³ per cell. Number 14: Fermi-level density of states 5.03 states/eV/f.u., volume 112 Å³ per cell. Number 15: Fermi-level density of states 2.93 states/eV/f.u., volume 73 Å³ per cell.